# CaHfRe2Pd (PBE, relaxed)
# Fermi-level density of states in states/eV per atom: 1.64
# Calculated total energy in eV/atom: -6.88
# DFT formation energy in kJ/mol of atoms: 147.4
data_CaHfRe2Pd
_chemical_formula_sum 'Ca1 Hf1 Re2 Pd1'
_cell_length_a 4.839
_cell_length_b 4.839
_cell_length_c 4.769
_cell_angle_alpha 90.00
_cell_angle_beta 90.00
_cell_angle_gamma 90.00
_space_group_name_H-M_alt 'P 4/m m m'
_space_group_IT_number 123
_space_group_name_Hall '-P 4 2'
loop_
_atom_site_label
_atom_site_type_symbol
_atom_site_fract_x
_atom_site_fract_y
_atom_site_fract_z
Ca1 Ca 0.000 0.000 0.000
Hf1 Hf 0.500 0.500 0.000
Re1 Re 0.000 0.500 0.500
Pd1 Pd 0.000 0.000 0.500